DFT (GGA+U) results for a relaxed CsWF4 crystal.

For the total moment, the calculation gives 3.000 μB/f.u. As for the total energy: -5.29 eV per atom.

It has space group C2/c (No. 15), with a = 15.178 Å, b = 5.783 Å, c = 5.711 Å, α = 90.00°, β = 110.86° and γ = 90.00°. The asymmetric unit holds Cs at (0.000, 0.245, 0.250), W at (0.250, 0.250, 0.000), F at (0.104, 0.299, 0.841) and F at (0.225, 0.068, 0.295).